(1)
Computed, not measured: crystalline BaLi2AlHg at its relaxed geometry at the PBE level of DFT.

total magnetization	0.001	μB per formula unit
VASP energy	-8.9	eV/cell
distance to the lowest polymorph of the same formula	289.0	meV per atom
calculated formation energy	0.1783	eV per atom
density of states at the Fermi level	5.6	states/eV/cell

The structure in POSCAR format:
```
BaLi2AlHg
1.0
-4.202 -2.415 1.832
2.124 -5.533 -2.422
2.497 -0.982 4.432
Li Ba Al Hg
2 1 1 1
direct
0.500 0.000 0.000 Li
0.000 0.000 0.500 Li
0.000 0.500 0.000 Ba
0.500 0.500 0.500 Al
0.000 0.000 0.000 Hg
```

=====

(2)
Computed, not measured: crystalline BaLiAlHg at its relaxed geometry at the PBE level of DFT.

total magnetization	0.000	μB per formula unit
VASP energy	-8.5	eV/cell
calculated formation energy	-0.1530	eV per atom
density of states at the Fermi level	0.9	states/eV/cell

The structure in POSCAR format:
```
BaLiAlHg
1.0
-2.755 1.047 4.427
-0.176 -3.578 3.931
2.561 0.939 4.566
Al Hg Ba Li
1 1 1 1
direct
0.250 0.250 0.250 Al
0.500 0.500 0.500 Hg
0.750 0.750 0.750 Ba
0.000 0.000 0.000 Li
```

=====

(3)
Computed, not measured: crystalline BaLi2AlHg at its relaxed geometry at the PBE level of DFT.

total magnetization	0.000	μB per formula unit
VASP energy	-10.3	eV/cell
distance to the lowest polymorph of the same formula	0.0	meV per atom
calculated formation energy	-0.1108	eV per atom
density of states at the Fermi level	1.9	states/eV/cell

The structure in POSCAR format:
```
BaLi2AlHg
1.0
-1.566 -3.650 -3.399
4.987 -1.164 -1.047
-0.026 -3.571 3.847
Ba Hg Al Li
1 1 1 2
direct
0.500 0.500 0.500 Ba
0.000 0.000 0.500 Hg
0.000 0.000 0.000 Al
0.000 0.500 0.000 Li
0.500 0.000 0.000 Li
```

=====

(4)
Computed, not measured: crystalline BaMgAl2Hg at its relaxed geometry at the PBE level of DFT.

total magnetization	0.000	μB per formula unit
VASP energy	-12.7	eV/cell
calculated formation energy	-0.2721	eV per atom
density of states at the Fermi level	2.4	states/eV/cell

The structure in POSCAR format:
```
BaMgAl2Hg
1.0
4.587 0.000 0.000
0.000 4.774 0.000
-2.294 -2.387 5.966
Hg Mg Ba Al
1 1 1 2
direct
0.829 0.829 0.658 Hg
0.189 0.689 0.379 Mg
0.444 0.444 0.888 Ba
0.061 0.061 0.123 Al
0.689 0.189 0.377 Al
```

=====

- Which value of total magnetization does entry 3 give?
  0.000 μB per formula unit